1.
! TlCu2Os, optimized geometry, DFT GGA-PBE; values from VASP
! DOS at the Fermi energy = 2.91 states/eV per cell
! Offset from the most stable computed form = 21 meV per atom
! Theoretical density = 14.09 g/cm³
! Magnetic moment = 0.00 μB per atom
! SG = Cmmm, No. 65
&SYSTEM
  ibrav = 0, nat = 4, ntyp = 3
/
ATOMIC_SPECIES
Tl 204.38 Tl.upf
Cu 63.55 Cu.upf
Os 190.23 Os.upf
ATOMIC_POSITIONS crystal
Tl 0.000 0.000 0.000
Cu 0.000 0.500 0.500
Cu 0.500 0.000 0.500
Os 0.500 0.500 0.000
CELL_PARAMETERS angstrom
2.773 -3.900 0.000
2.773 3.900 0.000
0.000 0.000 2.842

2.
! TlCu2Os, optimized geometry, DFT GGA-PBE; values from VASP
! DOS at the Fermi energy = 2.71 states/eV per cell
! Offset from the most stable computed form = 142 meV per atom
! Theoretical density = 14.32 g/cm³
! Magnetic moment = 0.00 μB per atom
! SG = Fm-3m, No. 225
&SYSTEM
  ibrav = 0, nat = 4, ntyp = 3
/
ATOMIC_SPECIES
Tl 204.38 Tl.upf
Cu 63.55 Cu.upf
Os 190.23 Os.upf
ATOMIC_POSITIONS crystal
Tl 0.000 0.000 0.000
Cu 0.250 0.250 0.250
Cu 0.750 0.750 0.750
Os 0.500 0.500 0.500
CELL_PARAMETERS angstrom
0.000 3.116 3.116
3.116 0.000 3.116
3.116 3.116 0.000

3.
! Tl2CuOs, optimized geometry, DFT GGA-PBE; values from VASP
! DOS at the Fermi energy = 1.83 states/eV per cell
! Offset from the most stable computed form = 146 meV per atom
! Theoretical density = 14.83 g/cm³
! Magnetic moment = 0.00 μB per atom
! SG = P4/mmm, No. 123
&SYSTEM
  ibrav = 0, nat = 4, ntyp = 3
/
ATOMIC_SPECIES
Tl 204.38 Tl.upf
Cu 63.55 Cu.upf
Os 190.23 Os.upf
ATOMIC_POSITIONS crystal
Tl 0.000 0.000 0.248
Tl 0.000 0.000 0.752
Cu 0.500 0.500 0.000
Os 0.500 0.500 0.500
CELL_PARAMETERS angstrom
3.474 0.000 0.000
0.000 3.474 0.000
0.000 0.000 6.148